# 1
This record from the Alexandria database describes a relaxed structure of CsRhSe2. The functional is PBE.

Computed properties:
E_form (uncorrected)   -44.0 kJ/mol of atoms
E   -4.25 eV per atom
Total magnetization   0.00 μB/cell
Theoretical density   5.2 g/cm3

Cell lengths 8.5037, 8.5037, 7.0050 Å; angles 90.00, 90.00, 90.00 degrees
Space group I4/mcm (No. 140)
Symmetry-distinct sites (fractional):
Cs1 0.0000 0.0000 0.2500
Rh1 0.0000 0.5000 0.2500
Se1 0.1397 0.3603 0.0000

=====

# 2
This record from the Alexandria database describes a relaxed structure of CsRhSe. The functional is PBE.

Computed properties:
E_form (uncorrected)   -16.3 kJ/mol of atoms
E   -4.06 eV per atom
Total magnetization   0.00 μB/cell
Theoretical density   4.5 g/cm3

Cell lengths 4.5684, 5.0651, 5.0719 Å; angles 89.98, 89.32, 88.82 degrees
Space group P1 (No. 1)
Symmetry-distinct sites (fractional):
Cs1 0.0000 0.0000 0.0000
Rh1 0.0060 0.5000 0.5001
Se1 0.5060 0.5001 0.5002

=====

# 3
This record from the Alexandria database describes a relaxed structure of CsRhSe2. The functional is PBE.

Computed properties:
E_form (uncorrected)   -63.5 kJ/mol of atoms
E   -4.45 eV per atom
Total magnetization   0.00 μB/cell
Theoretical density   6.2 g/cm3

Cell lengths 3.9409, 3.9409, 7.8522 Å; angles 90.00, 90.00, 120.00 degrees
Space group P-3m1 (No. 164)
Symmetry-distinct sites (fractional):
Cs1 0.0000 0.0000 0.0000
Rh1 0.0000 0.0000 0.5000
Se1 0.3333 0.6667 0.3498

=====

# 4
This record from the Alexandria database describes a relaxed structure of CsRhSe2. The functional is PBE.

Computed properties:
E_form (uncorrected)   -61.9 kJ/mol of atoms
E   -4.43 eV per atom
Total magnetization   0.00 μB/cell
Theoretical density   5.0 g/cm3

Cell lengths 8.1184, 12.2229, 5.5511 Å; angles 90.00, 109.77, 90.00 degrees
Space group C2/c (No. 15)
Symmetry-distinct sites (fractional):
Cs1 0.0000 0.1335 0.2500
Rh1 0.0000 0.4989 0.2500
Se1 0.1827 0.3854 0.0864

=====

# 5
This record from the Alexandria database describes a relaxed structure of CsRh3Se. The functional is PBE.

Computed properties:
E_form (uncorrected)   47.6 kJ/mol of atoms
E   -4.78 eV per atom
Total magnetization   0.00 μB/cell
Relative energy among the computed polymorphs   0 meV per atom
Theoretical density   7.9 g/cm3

Cell lengths 4.7864, 4.7864, 4.7864 Å; angles 90.00, 90.00, 90.00 degrees
Space group Pm-3m (No. 221)
Symmetry-distinct sites (fractional):
Cs1 0.0000 0.0000 0.0000
Rh1 0.0000 0.5000 0.5000
Se1 0.5000 0.5000 0.5000

=====

# 6
This record from the Alexandria database describes a relaxed structure of CsRhSe2. The functional is PBE.

Computed properties:
E_form (uncorrected)   -56.0 kJ/mol of atoms
E   -4.37 eV per atom
Total magnetization   0.00 μB/cell
Theoretical density   5.8 g/cm3

Cell lengths 3.9655, 3.9655, 8.2452 Å; angles 90.00, 90.00, 120.00 degrees
Space group P3m1 (No. 156)
Symmetry-distinct sites (fractional):
Cs1 0.0000 0.0000 0.0000
Rh1 0.6667 0.3333 0.5642
Se1 0.0000 0.0000 0.4206
Se2 0.3333 0.6667 0.7006

=====

# 7
This record from the Alexandria database describes a relaxed structure of Cs3RhSe. The functional is PBE.

Computed properties:
E_form (uncorrected)   -2.1 kJ/mol of atoms
E   -2.70 eV per atom
Total magnetization   0.00 μB/cell
Theoretical density   4.9 g/cm3

Cell lengths 5.8070, 5.8070, 5.8070 Å; angles 90.00, 90.00, 90.00 degrees
Space group Pm-3m (No. 221)
Symmetry-distinct sites (fractional):
Cs1 0.0000 0.0000 0.5000
Rh1 0.0000 0.0000 0.0000
Se1 0.5000 0.5000 0.5000

=====

# 8
This record from the Alexandria database describes a relaxed structure of CsRhSe2. The functional is PBE.

Computed properties:
E_form (uncorrected)   -64.3 kJ/mol of atoms
E   -4.46 eV per atom
Total magnetization   0.00 μB/cell
Theoretical density   6.2 g/cm3

Cell lengths 3.9563, 3.9563, 23.1708 Å; angles 90.00, 90.00, 120.00 degrees
Space group R3m (No. 160, hexagonal axes)
Symmetry-distinct sites (fractional):
Cs1 0.0000 0.0000 0.0000
Rh1 0.0000 0.0000 0.8302
Se1 0.0000 0.0000 0.2144
Se2 0.0000 0.0000 0.4470

=====

# 9
This record from the Alexandria database describes a relaxed structure of CsRh2Se2. The functional is PBE.

Computed properties:
E_form (uncorrected)   -26.4 kJ/mol of atoms
E   -4.78 eV per atom
Total magnetization   0.00 μB/cell
Theoretical density   6.1 g/cm3

Cell lengths 4.6962, 4.6962, 12.2251 Å; angles 90.00, 90.00, 90.00 degrees
Space group I4/mmm (No. 139)
Symmetry-distinct sites (fractional):
Cs1 0.0000 0.0000 0.0000
Rh1 0.0000 0.0000 0.3157
Se1 0.0000 0.5000 0.2500

=====

# 10
This record from the Alexandria database describes a relaxed structure of CsRhSe2. The functional is PBE.

Computed properties:
E_form (uncorrected)   -56.9 kJ/mol of atoms
E   -4.38 eV per atom
Total magnetization   0.00 μB/cell
Theoretical density   5.2 g/cm3

Cell lengths 7.7810, 7.7810, 8.2921 Å; angles 90.00, 90.00, 90.00 degrees
Space group I-42d (No. 122)
Symmetry-distinct sites (fractional):
Cs1 0.0000 0.0000 0.0000
Rh1 0.0000 0.0000 0.5000
Se1 0.1213 0.2500 0.6250

=====

# 11
This record from the Alexandria database describes a relaxed structure of CsRhSe. The functional is PBE.

Computed properties:
E_form (uncorrected)   -35.8 kJ/mol of atoms
E   -4.27 eV per atom
Total magnetization   0.03 μB/cell
Theoretical density   5.8 g/cm3

Cell lengths 4.2075, 4.2075, 5.8347 Å; angles 90.00, 90.00, 120.00 degrees
Space group P-6m2 (No. 187)
Symmetry-distinct sites (fractional):
Cs1 0.0000 0.0000 0.0000
Rh1 0.3333 0.6667 0.5000
Se1 0.6667 0.3333 0.5000

=====

# 12
This record from the Alexandria database describes a relaxed structure of CsRh4Se8. The functional is PBE.

Computed properties:
E_form (uncorrected)   -45.8 kJ/mol of atoms
E   -4.95 eV per atom
Total magnetization   0.00 μB/cell
Theoretical density   4.8 g/cm3

Cell lengths 7.2840, 7.2840, 26.3343 Å; angles 90.00, 90.00, 120.00 degrees
Space group R-3m (No. 166, hexagonal axes)
Symmetry-distinct sites (fractional):
Cs1 0.0000 0.0000 0.0000
Rh1 0.0000 0.0000 0.5000
Rh2 0.0000 0.5000 0.5000
Se1 0.0000 0.0000 0.2187
Se2 0.0010 0.5005 0.2183